Pr2Cu2Sn3: optimized geometry, PBE.

Unit cell a=10.187 b=10.187 c=7.211 alpha=90.00 beta=90.00 gamma=153.41
Fractional positions:
Pr1 0.044 0.956 0.750
Pr2 0.162 0.838 0.250
Pr3 0.838 0.162 0.750
Pr4 0.956 0.044 0.250
Cu1 0.302 0.698 0.064
Cu2 0.302 0.698 0.436
Cu3 0.698 0.302 0.564
Cu4 0.698 0.302 0.936
Sn1 0.218 0.782 0.750
Sn2 0.429 0.571 0.550
Sn3 0.429 0.571 0.950
Sn4 0.571 0.429 0.050
Sn5 0.571 0.429 0.450
Sn6 0.782 0.218 0.250

distance to the lowest polymorph of the same formula	0.0	kJ/mol of atoms
mass density	7.6	Mg/m³
DFT formation energy	-0.535	eV per atom

---

Li4SbPb: optimized geometry, PBE.

Unit cell a=4.578 b=4.578 c=6.904 alpha=90.00 beta=90.00 gamma=90.00
Fractional positions:
Li1 0.000 0.500 0.214
Li2 0.000 0.500 0.786
Li3 0.500 0.000 0.214
Li4 0.500 0.000 0.786
Sb1 0.000 0.000 0.000
Pb1 0.500 0.500 0.500

distance to the lowest polymorph of the same formula	10.8	kJ/mol of atoms
raw formation energy	-135	kJ/mol of formula units
mass density	4.1	Mg/m³

---

TbNdY6Tm2: optimized geometry, PBE.

Unit cell a=8.762 b=8.762 c=9.616 alpha=94.19 beta=94.19 gamma=116.86
Fractional positions:
Tb1 0.027 0.973 0.750
Tb2 0.973 0.027 0.250
Nd1 0.407 0.593 0.250
Nd2 0.593 0.407 0.750
Y1 0.020 0.570 0.681
Y2 0.117 0.755 0.056
Y3 0.245 0.883 0.444
Y4 0.295 0.509 0.882
Y5 0.430 0.980 0.819
Y6 0.491 0.705 0.618
Y7 0.509 0.295 0.382
Y8 0.570 0.020 0.181
Y9 0.705 0.491 0.118
Y10 0.755 0.117 0.556
Y11 0.883 0.245 0.944
Y12 0.980 0.430 0.319
Tm1 0.194 0.295 0.548
Tm2 0.295 0.194 0.048
Tm3 0.705 0.806 0.952
Tm4 0.806 0.705 0.452

mass density	6.0	Mg/m³
DFT formation energy	0.121	eV per atom

---

MnBe2Os: optimized geometry, PBE.

Unit cell a=2.547 b=2.547 c=7.443 alpha=90.00 beta=90.00 gamma=112.62
Fractional positions:
Mn1 0.000 0.000 0.000
Be1 0.500 0.500 0.244
Be2 0.500 0.500 0.756
Os1 0.000 0.000 0.500

mass density	9.8	Mg/m³
DFT formation energy	0.141	eV per atom